This record from Alexandria via LeMat-Bulk describes a geometry-optimized CsPmF4 structure. The functional is PBE-GGA.

Computed properties:
Raw formation energy (meV/atom): -3622
M_tot (Bohr magnetons per cell): 0.2
Space-group type: C2/c
Energy above the lowest structure with this stoichiometry (eV per formula unit): 0.210

```
CsPmF4
1.0
7.642 -2.863 0.000
7.642 2.863 0.000
-2.012 0.000 6.262
Cs Pm F
2 2 8
Direct
0.239 0.761 0.750
0.761 0.239 0.250
0.000 0.500 0.000
0.500 0.000 0.500
0.143 0.290 0.671
0.232 0.565 0.066
0.290 0.143 0.171
0.435 0.768 0.434
0.565 0.232 0.566
0.710 0.857 0.829
0.768 0.435 0.934
0.857 0.710 0.329
```